# Pr6Hg5Ir, relaxed, DFT GGA-PBE
# Energy of formation ... -5.98 eV/f.u.
# VASP energy ... -90.056 eV per cell
data_Pr6Hg5Ir
_symmetry_space_group_name_H-M 'I m m m'
_symmetry_Int_Tables_number 71
_symmetry_space_group_name_Hall '-I 2 2'
_cell_length_a 5.370
_cell_length_b 7.708
_cell_length_c 16.076
_cell_angle_alpha 90.00
_cell_angle_beta 90.00
_cell_angle_gamma 90.00
loop_
_atom_site_label
_atom_site_type_symbol
_atom_site_fract_x
_atom_site_fract_y
_atom_site_fract_z
_atom_site_occupancy
Pr1 Pr 0.000 0.226 0.000 1
Pr2 Pr 0.000 0.267 0.345 1
Hg1 Hg 0.000 0.000 0.187 1
Hg2 Hg 0.000 0.000 0.500 1
Hg3 Hg 0.000 0.500 0.167 1
Ir1 Ir 0.000 0.500 0.500 1